# 1
CaAg9Pb2 after structural relaxation. Source: Alexandria via LeMat-Bulk, functional PBE-GGA.

a = 5.707 Å, b = 5.707 Å, c = 9.793 Å
α = 73.06°, β = 73.06°, γ = 60.00°
Fractional coordinates of all 12 atoms:
Ag 0.585 0.585 0.749
Ag 0.334 0.334 0.999
Ag 0.666 0.666 0.001
Pb 0.858 0.858 0.427
Ag 0.585 0.081 0.749
Ag 0.081 0.585 0.749
Ag 0.415 0.415 0.251
Ag 0.919 0.415 0.251
Ag 0.500 0.500 0.500
Pb 0.142 0.142 0.573
Ca 0.000 0.000 0.000
Ag 0.415 0.919 0.251

Results
Fermi-level density of states: 6.729 states/eV per cell
Uncorrected energy: -2.97 eV per atom
ΔE_f: -1.11 kcal/mol of atoms


# 2
RbBa2InH after structural relaxation. Source: Alexandria via LeMat-Bulk, functional PBE-GGA.

a = 5.790 Å, b = 5.790 Å, c = 5.467 Å
α = 90.00°, β = 90.00°, γ = 90.00°
Fractional coordinates of all 5 atoms:
In 0.500 0.500 0.500
Ba 0.500 0.000 0.000
Ba 0.000 0.500 0.000
H 0.000 0.000 0.000
Rb 0.000 0.000 0.500

Results
Fermi-level density of states: 5.093 states/eV per cell
Uncorrected energy: -2.35 eV per atom


# 3
TaPd3Ru after structural relaxation. Source: Alexandria via LeMat-Bulk, functional PBE-GGA.

a = 4.760 Å, b = 4.760 Å, c = 4.760 Å
α = 90.00°, β = 90.00°, γ = 90.00°
Fractional coordinates of all 5 atoms:
Pd 0.500 0.000 0.000
Ta 0.000 0.000 0.000
Ru 0.500 0.500 0.500
Pd 0.000 0.500 0.000
Pd 0.000 0.000 0.500

Results
Fermi-level density of states: 7.297 states/eV per cell
Uncorrected energy: -5.98 eV per atom
ΔE_f: 31.44 kcal/mol of atoms


# 4
CsRbGeSe3 after structural relaxation. Source: Alexandria via LeMat-Bulk, functional PBE-GGA.

a = 7.250 Å, b = 7.250 Å, c = 10.446 Å
α = 90.84°, β = 90.84°, γ = 93.07°
Fractional coordinates of all 12 atoms:
Ge 0.824 0.824 0.291
Ge 0.176 0.176 0.709
Se 0.055 0.686 0.188
Rb 0.736 0.264 0.500
Se 0.758 0.758 0.500
Se 0.242 0.242 0.500
Se 0.686 0.055 0.188
Cs 0.190 0.190 0.121
Rb 0.264 0.736 0.500
Cs 0.810 0.810 0.879
Se 0.314 0.945 0.812
Se 0.945 0.314 0.812

Results
Fermi-level density of states: 0.000 states/eV per cell
Uncorrected energy: -3.65 eV per atom
Energy relative to the elements, uncorrected: -5.0 eV per formula unit


# 5
NaMgV after structural relaxation. Source: Alexandria via LeMat-Bulk, functional PBE-GGA.

a = 5.178 Å, b = 5.178 Å, c = 6.259 Å
α = 90.00°, β = 90.00°, γ = 120.00°
Fractional coordinates of all 6 atoms:
Mg 0.333 0.667 0.268
Na 0.667 0.333 0.000
Mg 0.333 0.667 0.732
V 0.000 0.000 0.353
Na 0.667 0.333 0.500
V 0.000 0.000 0.647

Results
Fermi-level density of states: 6.574 states/eV per cell
Uncorrected energy: -3.30 eV per atom
ΔE_f: 16.46 kcal/mol of atoms


# 6
TcMo2Se5 after structural relaxation. Source: Alexandria via LeMat-Bulk, functional PBE-GGA.

a = 5.670 Å, b = 7.165 Å, c = 7.015 Å
α = 59.29°, β = 66.91°, γ = 90.00°
Fractional coordinates of all 8 atoms:
Se 0.920 0.173 0.655
Mo 0.914 0.367 0.267
Se 0.648 0.059 0.311
Se 0.284 0.287 0.979
Tc 0.017 0.995 0.009
Se 0.284 0.734 0.979
Mo 0.508 0.979 0.042
Se 0.648 0.629 0.311

Results
Fermi-level density of states: 8.036 states/eV per cell
Uncorrected energy: -6.18 eV per atom
Energy relative to the elements, uncorrected: 0.0 eV per formula unit


# 7
AgGePdRh after structural relaxation. Source: Alexandria via LeMat-Bulk, functional PBE-GGA.

a = 4.434 Å, b = 4.434 Å, c = 4.434 Å
α = 60.00°, β = 60.00°, γ = 60.00°
Fractional coordinates of all 4 atoms:
Ge 0.000 0.000 0.000
Ag 0.500 0.500 0.500
Pd 0.750 0.750 0.750
Rh 0.250 0.250 0.250

Results
Fermi-level density of states: 3.091 states/eV per cell
Uncorrected energy: -5.16 eV per atom
ΔE_f: -3.57 kcal/mol of atoms